First-principles (GGA-PBE) data for a relaxed Nd5Ge5Au2 crystal, as listed in Alexandria via LeMat-Bulk.

The space group is C2/m (No. 12) and the conventional cell measures 15.536, 4.402 and 11.302 Å, with angles of 90.00, 129.86 and 90.00 degrees. The inequivalent atoms are Nd at (0.000, 0.000, 0.000), Nd at (0.106, 0.000, 0.418), Nd at (0.196, 0.000, 0.825), Ge at (0.000, 0.500, 0.500), Ge at (0.067, 0.500, 0.855), Ge at (0.237, 0.500, 0.674) and Au at (0.142, 0.500, 0.252).

First-principles (GGA-PBE) data for a relaxed Nd5Ge2Au crystal, as listed in Alexandria via LeMat-Bulk.

The space group is I4/mcm (No. 140) and the conventional cell measures 7.788, 7.788 and 14.805 Å, with angles of 90.00, 90.00 and 90.00 degrees. The inequivalent atoms are Nd at (0.000, 0.000, 0.000), Nd at (0.172, 0.328, 0.144), Ge at (0.125, 0.375, 0.500) and Au at (0.000, 0.000, 0.250).

In order of appearance, formation energy = -0.751, -0.642 eV/atom.